Record 1
{
  "formula": "BeSeBr",
  "functional": "GGA-PBE",
  "state": "relaxed",
  "magnetic_moment_mub_per_fu": 0.00,
  "raw_formation_energy_kj_per_mol_fu": -59,
  "dft_energy_ev_per_atom": -3.166,
  "lattice": [[3.6710, 0.0000, 0.0000], [-1.8355, 3.1792, 0.0000], [0.0000, 0.0000, 5.1790]],
  "species": ["Se", "Br", "Be"],
  "fractional_positions": [[0.3333, 0.6667, 0.7848], [0.6667, 0.3333, 0.2774], [0.0000, 0.0000, 0.9377]]
}


Record 2
{
  "formula": "BeSe2Br",
  "functional": "GGA-PBE",
  "state": "relaxed",
  "magnetic_moment_mub_per_fu": 0.00,
  "raw_formation_energy_kj_per_mol_fu": -3,
  "dft_energy_ev_per_atom": -3.099,
  "lattice": [[6.0966, 0.0235, 0.0341], [-0.0275, 6.0943, -0.0336], [-0.8679, -5.2063, 3.0466]],
  "species": ["Se", "Se", "Be", "Br"],
  "fractional_positions": [[0.9349, 0.9350, 0.0000], [0.7109, 0.2107, 0.5000], [0.5107, 0.5107, 0.0000], [0.3436, 0.8436, 0.5000]]
}


Record 3
{
  "formula": "BeSe2Br",
  "functional": "GGA-PBE",
  "state": "relaxed",
  "magnetic_moment_mub_per_fu": 0.00,
  "raw_formation_energy_kj_per_mol_fu": -79,
  "dft_energy_ev_per_atom": -3.297,
  "lattice": [[3.6991, 0.0000, 0.0000], [0.0000, 4.6684, -0.0123], [0.0000, 3.2303, 4.9790]],
  "species": ["Be", "Se", "Br", "Se"],
  "fractional_positions": [[0.5000, 0.2500, 0.2500], [0.0000, 0.0484, 0.1131], [0.5000, 0.7500, 0.7500], [0.0000, 0.4516, 0.3869]]
}


Record 4
{
  "formula": "BeSe2Br",
  "functional": "GGA-PBE",
  "state": "relaxed",
  "magnetic_moment_mub_per_fu": 0.00,
  "raw_formation_energy_kj_per_mol_fu": 82,
  "dft_energy_ev_per_atom": -2.881,
  "lattice": [[-3.1686, 0.0644, -0.7694], [-0.4956, -2.6611, 1.8182], [-1.3969, 4.4450, 6.1251]],
  "species": ["Se", "Br", "Be", "Se"],
  "fractional_positions": [[0.0000, 0.0000, 0.0916], [0.5000, 0.5000, 0.7500], [0.5000, 0.5000, 0.2500], [0.0000, 0.0000, 0.4084]]
}


Record 5
{
  "formula": "BeSe2Br",
  "functional": "GGA-PBE",
  "state": "relaxed",
  "magnetic_moment_mub_per_fu": 0.00,
  "raw_formation_energy_kj_per_mol_fu": 108,
  "dft_energy_ev_per_atom": -2.812,
  "lattice": [[1.8316, 0.0000, 11.4391], [-0.9158, 1.5862, 11.4391], [-0.9158, -1.5862, 11.4391]],
  "species": ["Se", "Be", "Se", "Br"],
  "fractional_positions": [[0.0592, 0.0592, 0.0592], [0.0000, 0.0000, 0.0000], [0.9408, 0.9408, 0.9408], [0.5000, 0.5000, 0.5000]]
}


Record 6
{
  "formula": "BeSe2Br",
  "functional": "GGA-PBE",
  "state": "relaxed",
  "magnetic_moment_mub_per_fu": 0.00,
  "raw_formation_energy_kj_per_mol_fu": 164,
  "dft_energy_ev_per_atom": -2.668,
  "lattice": [[-6.7692, -4.5601, 4.2581], [-6.2701, -6.7293, -0.3876], [8.2406, 3.9858, -0.9758]],
  "species": ["Se", "Br", "Se", "Be"],
  "fractional_positions": [[0.2500, 0.7500, 0.5000], [0.7500, 0.2500, 0.5000], [0.0000, 0.0000, 0.0000], [0.5000, 0.5000, 0.0000]]
}


Record 7
{
  "formula": "BeSe2Br",
  "functional": "GGA-PBE",
  "state": "relaxed",
  "magnetic_moment_mub_per_fu": 0.00,
  "raw_formation_energy_kj_per_mol_fu": -114,
  "dft_energy_ev_per_atom": -3.388,
  "lattice": [[-0.0674, 1.4620, 3.1704], [0.8150, -3.7849, 1.7626], [7.5574, 0.6631, -0.1451]],
  "species": ["Se", "Se", "Br", "Be"],
  "fractional_positions": [[0.0000, 0.8687, 0.1932], [0.5000, 0.3533, 0.2120], [0.5000, 0.6418, 0.6370], [0.0000, 0.6362, 0.4578]]
}


Record 8
{
  "formula": "BeSeBr",
  "functional": "GGA-PBE",
  "state": "relaxed",
  "magnetic_moment_mub_per_fu": 0.33,
  "raw_formation_energy_kj_per_mol_fu": -144,
  "dft_energy_ev_per_atom": -3.458,
  "lattice": [[-3.3213, 4.7077, -3.3322], [1.5602, -0.5650, -9.0001], [-6.7546, -4.0507, -5.6369]],
  "species": ["Be", "Be", "Se", "Br", "Se", "Be", "Se", "Se", "Br", "Se", "Be", "Br", "Br", "Be", "Se", "Br", "Be", "Br"],
  "fractional_positions": [[0.9592, 0.7593, 0.2168], [0.9101, 0.3149, 0.3654], [0.2906, 0.6608, 0.1144], [0.6421, 0.1963, 0.3675], [0.7070, 0.9897, 0.0906], [0.0795, 0.6955, 0.6804], [0.7734, 0.2717, 0.9283], [0.9342, 0.1608, 0.6144], [0.7940, 0.6963, 0.8675], [0.0266, 0.7717, 0.4283], [0.5446, 0.1955, 0.1804], [0.3608, 0.7770, 0.6699], [0.1922, 0.2770, 0.1699], [0.4096, 0.8149, 0.8654], [0.2126, 0.4897, 0.5906], [0.3609, 0.0847, 0.8167], [0.0646, 0.2593, 0.7168], [0.7378, 0.5847, 0.3167]]
}


Record 9
{
  "formula": "BeSe2Br",
  "functional": "GGA-PBE",
  "state": "relaxed",
  "magnetic_moment_mub_per_fu": 0.00,
  "raw_formation_energy_kj_per_mol_fu": 322,
  "dft_energy_ev_per_atom": -2.258,
  "lattice": [[0.0000, 3.3859, 3.3859], [3.3859, 0.0000, 3.3859], [3.3859, 3.3859, 0.0000]],
  "species": ["Be", "Br", "Se", "Se"],
  "fractional_positions": [[0.0000, 0.0000, 0.0000], [0.5000, 0.5000, 0.5000], [0.2500, 0.2500, 0.2500], [0.7500, 0.7500, 0.7500]]
}


Record 10
{
  "formula": "BeSiSe2Br",
  "functional": "GGA-PBE",
  "state": "relaxed",
  "magnetic_moment_mub_per_fu": 0.00,
  "raw_formation_energy_kj_per_mol_fu": 155,
  "dft_energy_ev_per_atom": -3.238,
  "lattice": [[4.6350, 0.0000, 0.0000], [0.0000, 4.6350, 0.0000], [0.0000, 0.0000, 4.7512]],
  "species": ["Br", "Si", "Be", "Se", "Se"],
  "fractional_positions": [[0.0000, 0.0000, 0.5000], [0.5000, 0.5000, 0.5000], [0.0000, 0.0000, 0.0000], [0.0000, 0.5000, 0.0000], [0.5000, 0.0000, 0.0000]]
}


Record 11
{
  "formula": "BeSiSe2Br",
  "functional": "GGA-PBE",
  "state": "relaxed",
  "magnetic_moment_mub_per_fu": 0.00,
  "raw_formation_energy_kj_per_mol_fu": 298,
  "dft_energy_ev_per_atom": -2.941,
  "lattice": [[4.8514, 0.0000, 0.0000], [0.0000, 4.8514, 0.0000], [0.0000, 0.0000, 4.9653]],
  "species": ["Si", "Se", "Se", "Be", "Br"],
  "fractional_positions": [[0.0000, 0.0000, 0.0000], [0.0000, 0.5000, 0.0000], [0.5000, 0.0000, 0.0000], [0.5000, 0.5000, 0.5000], [0.0000, 0.0000, 0.5000]]
}


Record 12
{
  "formula": "SrBeSe2Br",
  "functional": "GGA-PBE",
  "state": "relaxed",
  "magnetic_moment_mub_per_fu": 3.02,
  "raw_formation_energy_kj_per_mol_fu": 156,
  "dft_energy_ev_per_atom": -2.486,
  "lattice": [[6.0555, 0.0000, 0.0000], [0.0000, 6.0555, 0.0000], [0.0000, 0.0000, 5.8752]],
  "species": ["Br", "Se", "Se", "Be", "Sr"],
  "fractional_positions": [[0.0000, 0.0000, 0.5000], [0.0000, 0.5000, 0.0000], [0.5000, 0.0000, 0.0000], [0.5000, 0.5000, 0.5000], [0.0000, 0.0000, 0.0000]]
}


| no. | distance to the lowest polymorph of the same formula (meV per atom) |
| --- | --- |
| 1 | 292 |
| 2 | 289 |
| 3 | 91 |
| 4 | 507 |
| 5 | 576 |
| 6 | 720 |
| 7 | 0 |
| 8 | 0 |
| 9 | 1130 |
| 10 | 0 |
| 11 | 296 |
| 12 | 1248 |